# YMnIr2 (PBE-GGA, optimized geometry)
# Energy in eV/atom: -8.48
# Volume in Å³ per cell: 69.82
data_YMnIr2
_chemical_formula_sum 'Y1 Mn1 Ir2'
_cell_length_a 5.097
_cell_length_b 5.097
_cell_length_c 4.834
_cell_angle_alpha 102.91
_cell_angle_beta 102.91
_cell_angle_gamma 34.88
_symmetry_space_group_name_H-M 'P 1'
_symmetry_Int_Tables_number 1
loop_
_symmetry_equiv_pos_as_xyz
'x,y,z'
loop_
_atom_site_label
_atom_site_type_symbol
_atom_site_fract_x
_atom_site_fract_y
_atom_site_fract_z
Y1 Y 0.000 0.000 0.000
Mn1 Mn 0.224 0.224 0.690
Ir1 Ir 0.493 0.493 0.494
Ir2 Ir 0.758 0.758 0.279